No. 1
# ThGa (PBE-GGA, relaxed)
data_ThGa
_cell_length_a 3.4423
_cell_length_b 3.4423
_cell_length_c 5.0669
_cell_angle_alpha 90.00
_cell_angle_beta 90.00
_cell_angle_gamma 120.00
_space_group_name_H-M_alt 'P -6 m 2'
_space_group_IT_number 187
_space_group_name_Hall 'P -6 2'
loop_
_atom_site_label
_atom_site_type_symbol
_atom_site_fract_x
_atom_site_fract_y
_atom_site_fract_z
Th1 Th 0.0000 0.0000 0.0000
Ga1 Ga 0.3333 0.6667 0.5000
# VASP energy, eV per atom: -5.402
# Crystal system: hexagonal
# Total moment, μB/f.u.: 0.0

---

No. 2
# ThGa (PBE-GGA, relaxed)
data_ThGa
_cell_length_a 6.096
_cell_length_b 6.096
_cell_length_c 6.096
_cell_angle_alpha 90.00
_cell_angle_beta 90.00
_cell_angle_gamma 90.00
_space_group_name_H-M_alt 'F m -3 m'
_space_group_IT_number 225
_space_group_name_Hall '-F 4 2 3'
loop_
_atom_site_label
_atom_site_type_symbol
_atom_site_fract_x
_atom_site_fract_y
_atom_site_fract_z
Th1 Th 0.000 0.000 0.000
Ga1 Ga 0.000 0.000 0.500
# VASP energy, eV per atom: -5.445
# Crystal system: cubic
# Total moment, μB/f.u.: 0.0

---

No. 3
# ThTlGa (PBE-GGA, relaxed)
data_ThTlGa
_cell_length_a 6.956
_cell_length_b 6.956
_cell_length_c 6.956
_cell_angle_alpha 90.00
_cell_angle_beta 90.00
_cell_angle_gamma 90.00
_space_group_name_H-M_alt 'F -4 3 m'
_space_group_IT_number 216
_space_group_name_Hall 'F -4 2 3'
loop_
_atom_site_label
_atom_site_type_symbol
_atom_site_fract_x
_atom_site_fract_y
_atom_site_fract_z
Th1 Th 0.000 0.000 0.000
Tl1 Tl 0.000 0.000 0.500
Ga1 Ga 0.250 0.250 0.250
# ΔE to the lowest computed polymorph, eV per atom: 0.000
# VASP energy, eV per atom: -4.308
# Crystal system: cubic
# Total moment, μB/f.u.: 0.0

---

No. 4
# TmThGa3 (PBE-GGA, relaxed)
data_TmThGa3
_cell_length_a 4.265
_cell_length_b 25.451
_cell_length_c 4.162
_cell_angle_alpha 90.00
_cell_angle_beta 90.00
_cell_angle_gamma 90.00
_space_group_name_H-M_alt 'C m c m'
_space_group_IT_number 63
_space_group_name_Hall '-C 2c 2'
loop_
_atom_site_label
_atom_site_type_symbol
_atom_site_fract_x
_atom_site_fract_y
_atom_site_fract_z
Tm1 Tm 0.000 0.204 0.250
Th1 Th 0.000 0.073 0.750
Ga1 Ga 0.000 0.321 0.250
Ga2 Ga 0.000 0.378 0.750
Ga3 Ga 0.000 0.475 0.750
# VASP energy, eV per atom: -4.829
# Crystal system: orthorhombic
# Total moment, μB/f.u.: 0.1

---

No. 5
# TmTh2Ga2 (PBE-GGA, relaxed)
data_TmTh2Ga2
_cell_length_a 7.746
_cell_length_b 7.746
_cell_length_c 4.404
_cell_angle_alpha 90.00
_cell_angle_beta 90.00
_cell_angle_gamma 90.00
_space_group_name_H-M_alt 'P 4/m b m'
_space_group_IT_number 127
_space_group_name_Hall '-P 4 2ab'
loop_
_atom_site_label
_atom_site_type_symbol
_atom_site_fract_x
_atom_site_fract_y
_atom_site_fract_z
Tm1 Tm 0.000 0.000 0.000
Th1 Th 0.174 0.326 0.500
Ga1 Ga 0.122 0.622 0.000
# VASP energy, eV per atom: -5.547
# Crystal system: tetragonal
# Total moment, μB/f.u.: 0.0

---

No. 6
# YThGa (PBE-GGA, relaxed)
data_YThGa
_cell_length_a 7.076
_cell_length_b 7.076
_cell_length_c 7.076
_cell_angle_alpha 90.00
_cell_angle_beta 90.00
_cell_angle_gamma 90.00
_space_group_name_H-M_alt 'F -4 3 m'
_space_group_IT_number 216
_space_group_name_Hall 'F -4 2 3'
loop_
_atom_site_label
_atom_site_type_symbol
_atom_site_fract_x
_atom_site_fract_y
_atom_site_fract_z
Y1 Y 0.000 0.000 0.000
Th1 Th 0.000 0.000 0.500
Ga1 Ga 0.250 0.250 0.750
# ΔE to the lowest computed polymorph, eV per atom: 0.000
# VASP energy, eV per atom: -5.788
# Crystal system: cubic
# Total moment, μB/f.u.: 0.0

---

No. 7
# ThZrGa3 (PBE-GGA, relaxed)
data_ThZrGa3
_cell_length_a 7.9308
_cell_length_b 7.9308
_cell_length_c 13.4022
_cell_angle_alpha 90.00
_cell_angle_beta 90.00
_cell_angle_gamma 120.00
_space_group_name_H-M_alt 'R -3 c'
_space_group_IT_number 167
_space_group_name_Hall '-R 3 2"c'
loop_
_atom_site_label
_atom_site_type_symbol
_atom_site_fract_x
_atom_site_fract_y
_atom_site_fract_z
Th1 Th 0.0000 0.0000 0.2500
Zr1 Zr 0.0000 0.0000 0.0000
Ga1 Ga 0.0000 0.3923 0.2500
# VASP energy, eV per atom: -5.052
# Crystal system: trigonal
# Total moment, μB/f.u.: 0.0

---

No. 8
# Tm5TlGa2 (PBE-GGA, relaxed)
data_Tm5TlGa2
_cell_length_a 7.637
_cell_length_b 7.637
_cell_length_c 14.098
_cell_angle_alpha 90.00
_cell_angle_beta 90.00
_cell_angle_gamma 90.00
_space_group_name_H-M_alt 'I 4/m c m'
_space_group_IT_number 140
_space_group_name_Hall '-I 4 2c'
loop_
_atom_site_label
_atom_site_type_symbol
_atom_site_fract_x
_atom_site_fract_y
_atom_site_fract_z
Tm1 Tm 0.000 0.000 0.000
Tm2 Tm 0.165 0.335 0.144
Tl1 Tl 0.000 0.000 0.250
Ga1 Ga 0.126 0.374 0.500
# VASP energy, eV per atom: -4.302
# Crystal system: tetragonal
# Total moment, μB/f.u.: 0.0

---

No. 9
# TmTlGa3 (PBE-GGA, relaxed)
data_TmTlGa3
_cell_length_a 5.484
_cell_length_b 5.484
_cell_length_c 5.484
_cell_angle_alpha 90.00
_cell_angle_beta 90.00
_cell_angle_gamma 90.00
_space_group_name_H-M_alt 'P m -3 m'
_space_group_IT_number 221
_space_group_name_Hall '-P 4 2 3'
loop_
_atom_site_label
_atom_site_type_symbol
_atom_site_fract_x
_atom_site_fract_y
_atom_site_fract_z
Tm1 Tm 0.000 0.000 0.000
Tl1 Tl 0.500 0.500 0.500
Ga1 Ga 0.000 0.000 0.500
# VASP energy, eV per atom: -2.707
# Crystal system: cubic
# Total moment, μB/f.u.: 0.2

---

No. 10
# TmTlGa (PBE-GGA, relaxed)
data_TmTlGa
_cell_length_a 6.873
_cell_length_b 6.873
_cell_length_c 6.873
_cell_angle_alpha 90.00
_cell_angle_beta 90.00
_cell_angle_gamma 90.00
_space_group_name_H-M_alt 'F -4 3 m'
_space_group_IT_number 216
_space_group_name_Hall 'F -4 2 3'
loop_
_atom_site_label
_atom_site_type_symbol
_atom_site_fract_x
_atom_site_fract_y
_atom_site_fract_z
Tm1 Tm 0.000 0.000 0.000
Tl1 Tl 0.250 0.250 0.750
Ga1 Ga 0.000 0.000 0.500
# ΔE to the lowest computed polymorph, eV per atom: 0.000
# VASP energy, eV per atom: -3.294
# Crystal system: cubic
# Total moment, μB/f.u.: 0.0

---

No. 11
# TmTlGa (PBE-GGA, relaxed)
data_TmTlGa
_cell_length_a 6.926
_cell_length_b 6.926
_cell_length_c 6.926
_cell_angle_alpha 90.00
_cell_angle_beta 90.00
_cell_angle_gamma 90.00
_space_group_name_H-M_alt 'F -4 3 m'
_space_group_IT_number 216
_space_group_name_Hall 'F -4 2 3'
loop_
_atom_site_label
_atom_site_type_symbol
_atom_site_fract_x
_atom_site_fract_y
_atom_site_fract_z
Tm1 Tm 0.000 0.000 0.000
Tl1 Tl 0.250 0.250 0.250
Ga1 Ga 0.250 0.250 0.750
# ΔE to the lowest computed polymorph, eV per atom: 0.007
# VASP energy, eV per atom: -3.287
# Crystal system: cubic
# Total moment, μB/f.u.: 0.0

---

No. 12
# TlGaW (PBE-GGA, relaxed)
data_TlGaW
_cell_length_a 6.314
_cell_length_b 6.314
_cell_length_c 6.314
_cell_angle_alpha 90.00
_cell_angle_beta 90.00
_cell_angle_gamma 90.00
_space_group_name_H-M_alt 'F -4 3 m'
_space_group_IT_number 216
_space_group_name_Hall 'F -4 2 3'
loop_
_atom_site_label
_atom_site_type_symbol
_atom_site_fract_x
_atom_site_fract_y
_atom_site_fract_z
Tl1 Tl 0.000 0.000 0.000
Ga1 Ga 0.250 0.250 0.250
W1 W 0.000 0.000 0.500
# ΔE to the lowest computed polymorph, eV per atom: 0.136
# VASP energy, eV per atom: -4.885
# Crystal system: cubic
# Total moment, μB/f.u.: 1.8

---

No. 13
# TlGaW (PBE-GGA, relaxed)
data_TlGaW
_cell_length_a 6.476
_cell_length_b 6.476
_cell_length_c 6.476
_cell_angle_alpha 90.00
_cell_angle_beta 90.00
_cell_angle_gamma 90.00
_space_group_name_H-M_alt 'F -4 3 m'
_space_group_IT_number 216
_space_group_name_Hall 'F -4 2 3'
loop_
_atom_site_label
_atom_site_type_symbol
_atom_site_fract_x
_atom_site_fract_y
_atom_site_fract_z
Tl1 Tl 0.000 0.000 0.000
Ga1 Ga 0.000 0.000 0.500
W1 W 0.250 0.250 0.750
# ΔE to the lowest computed polymorph, eV per atom: 0.000
# VASP energy, eV per atom: -5.021
# Crystal system: cubic
# Total moment, μB/f.u.: 1.9

---

No. 14
# TlZn2Ga2 (PBE-GGA, relaxed)
data_TlZn2Ga2
_cell_length_a 4.106
_cell_length_b 4.106
_cell_length_c 11.792
_cell_angle_alpha 90.00
_cell_angle_beta 90.00
_cell_angle_gamma 90.00
_space_group_name_H-M_alt 'I 4/m m m'
_space_group_IT_number 139
_space_group_name_Hall '-I 4 2'
loop_
_atom_site_label
_atom_site_type_symbol
_atom_site_fract_x
_atom_site_fract_y
_atom_site_fract_z
Tl1 Tl 0.000 0.000 0.000
Zn1 Zn 0.000 0.000 0.393
Ga1 Ga 0.000 0.500 0.250
# ΔE to the lowest computed polymorph, eV per atom: 0.000
# VASP energy, eV per atom: -2.137
# Crystal system: tetragonal